Entry 1:
Pd2Au2Se (PBE, optimized geometry); offset from the most stable computed form = 128 meV/atom; energy relative to the elements, uncorrected = 0.16 eV per atom
1.0
-2.697 -0.281 -7.348
7.352 0.045 -2.700
0.053 -2.988 0.095
Pd Au Se
4 4 2
Direct
0.363 0.137 0.500
0.637 0.863 0.500
0.137 0.637 0.500
0.863 0.363 0.500
0.659 0.159 0.000
0.341 0.841 0.000
0.841 0.659 0.000
0.159 0.341 0.000
0.500 0.500 0.000
0.000 0.000 0.000

Entry 2:
AlInAs (PBE, optimized geometry); offset from the most stable computed form = 61 meV/atom; formation energy = -0.15 eV/atom
1.0
-3.033 2.475 0.158
-0.502 -3.784 1.075
3.554 3.723 9.867
In As Al
2 2 2
Direct
0.787 0.236 0.127
0.156 0.967 0.332
0.322 0.305 0.929
0.913 0.484 0.615
0.974 0.609 0.839
0.563 0.782 0.527

Entry 3:
PmDyCo (PBE, optimized geometry); offset from the most stable computed form = 70 meV/atom; formation energy = -0.05 eV/atom
1.0
-2.870 -0.806 1.655
0.751 -3.311 -0.312
4.227 2.251 4.916
Co Pm Dy
1 1 1
Direct
0.663 0.663 0.326
0.296 0.296 0.592
0.041 0.041 0.082

Entry 4:
KPrAgS2 (PBE, optimized geometry); energy relative to the elements, uncorrected = -1.06 eV per atom
1.0
5.105 0.000 0.000
0.000 7.382 0.373
0.000 -1.837 7.933
K Ag Pr S
2 2 2 4
Direct
0.139 0.500 0.750
0.861 0.500 0.250
0.000 0.000 0.000
0.000 0.000 0.500
0.491 0.000 0.250
0.509 0.000 0.750
0.351 0.754 0.463
0.649 0.754 0.963
0.351 0.246 0.037
0.649 0.246 0.537

Entry 5:
NdHoOsRh (PBE, optimized geometry); formation energy = -0.33 eV/atom
1.0
-1.747 -2.975 3.486
-2.550 -4.001 -1.243
1.959 -4.451 0.633
Ho Os Nd Rh
1 1 1 1
Direct
0.250 0.250 0.250
0.000 0.000 0.000
0.750 0.750 0.750
0.500 0.500 0.500

Entry 6:
HfHg3W (PBE, optimized geometry); offset from the most stable computed form = 0 meV/atom; formation energy = 1.46 eV/atom
1.0
5.145 0.000 0.000
0.000 5.145 0.000
0.000 0.000 5.145
Hg W Hf
3 1 1
Direct
0.500 0.000 0.000
0.000 0.500 0.000
0.000 0.000 0.500
0.000 0.000 0.000
0.500 0.500 0.500

Entry 7:
LiTb3Ce3S8 (PBE, optimized geometry); energy relative to the elements, uncorrected = -1.96 eV per atom
1.0
-4.986 -1.632 -5.874
2.260 -5.698 4.945
-4.868 5.719 2.542
Ce Tb S Li
3 3 8 1
Direct
0.000 0.500 0.000
0.500 0.500 0.000
0.000 0.000 0.000
0.500 0.500 0.500
0.000 0.500 0.500
0.500 0.000 0.500
0.747 0.494 0.740
0.244 0.488 0.739
0.253 0.506 0.260
0.249 0.005 0.261
0.244 0.995 0.739
0.756 0.512 0.261
0.751 0.995 0.739
0.756 0.005 0.261
0.000 0.000 0.500

Entry 8:
MnSnTe3 (PBE, optimized geometry); offset from the most stable computed form = 478 meV/atom; energy relative to the elements, uncorrected = 0.37 eV per atom
1.0
-3.938 -0.856 3.129
-1.925 -3.346 -3.337
2.612 -3.756 2.259
Te Mn Sn
3 1 1
Direct
0.500 0.000 0.000
0.000 0.000 0.500
0.000 0.500 0.000
0.000 0.000 0.000
0.500 0.500 0.500

Entry 9:
KTiAg2S4 (PBE, optimized geometry); energy relative to the elements, uncorrected = -0.71 eV per atom
1.0
6.551 0.000 0.000
3.275 5.360 -0.740
3.275 -0.142 5.409
Ti Ag S K
1 2 4 1
Direct
0.000 0.500 0.500
0.500 0.688 0.312
0.500 0.312 0.688
0.994 0.857 0.538
0.390 0.143 0.462
0.006 0.462 0.143
0.610 0.538 0.857
0.000 0.000 0.000

Entry 10:
Pr8Nd5In (PBE, optimized geometry); formation energy = 0.08 eV/atom
1.0
7.993 1.822 -3.778
-2.612 7.930 -3.746
-0.992 -1.822 8.785
Pr Nd In
8 5 1
Direct
0.772 0.279 0.407
0.585 0.926 0.886
0.128 0.721 0.493
0.425 0.421 0.481
0.060 0.579 0.005
0.663 0.683 0.102
0.419 0.317 0.980
0.959 0.074 0.659
0.075 0.045 0.318
0.501 0.000 0.501
0.795 0.726 0.617
0.273 0.955 0.030
0.891 0.274 0.069
0.204 0.500 0.704

Entry 11:
Tb4SmSb5 (PBE, optimized geometry); energy relative to the elements, uncorrected = -1.15 eV per atom
1.0
-0.486 -3.376 -2.808
5.294 -2.532 2.128
-8.123 -2.580 7.985
Sb Tb Sm
5 4 1
Direct
0.000 0.500 0.000
0.200 0.700 0.399
0.602 0.102 0.203
0.800 0.300 0.601
0.398 0.898 0.797
0.400 0.400 0.800
0.799 0.799 0.598
0.600 0.600 0.200
0.201 0.201 0.402
0.000 0.000 0.000

Entry 12:
KMnCd2 (PBE, optimized geometry); offset from the most stable computed form = 137 meV/atom; formation energy = 0.38 eV/atom
1.0
-10.488 0.845 -2.104
-9.370 0.767 -5.172
-9.917 -2.022 -3.563
Cd Mn K
2 1 1
Direct
0.014 0.014 0.014
0.486 0.486 0.486
0.750 0.750 0.750
0.250 0.250 0.250

Number 1: total moment 0.000 μB per atom. Number 2: total moment 0.000 μB per atom. Number 3: total moment 0.232 μB per atom. Number 4: total moment 0.000 μB per atom. Number 5: total moment 0.000 μB per atom. Number 6: total moment 0.000 μB per atom. Number 7: total moment 0.171 μB per atom. Number 8: total moment 0.000 μB per atom. Number 9: total moment 0.000 μB per atom. Number 10: total moment 0.000 μB per atom. Number 11: total moment 0.000 μB per atom. Number 12: total moment 0.869 μB per atom.